[1]
# Tc5Ru

A relaxed structure of Tc5Ru (PBEsol, Alexandria).

## Properties
Space group: No. 38
Polymorph energy (0 for the lowest one) (meV per atom): 3
Energy relative to the elements (kcal/mol of atoms): -0.7
Calculated volume (Å³ per cell): 83

Unit cell a=2.7117 b=4.3267 c=7.1989 alpha=90.00 beta=100.86 gamma=90.00
Positions (direct):
1 Ru 0.0008 0.0000 0.0016
2 Tc 0.2228 0.5000 0.4455
3 Tc 0.3340 0.0000 0.6680
4 Tc 0.5552 0.5000 0.1104
5 Tc 0.6652 0.0000 0.3303
6 Tc 0.8887 0.5000 0.7774


[2]
# Fe2SiMo

A relaxed structure of Fe2SiMo (PBEsol, Alexandria).

## Properties
Space group: No. 47
Formation energy from raw total energies (eV per atom): -0.13
Calculated volume (Å³ per cell): 49

Unit cell a=3.2292 b=3.8439 c=3.9372 alpha=90.00 beta=90.00 gamma=90.00
Last column: magnetic moment on the atom in μB.
Positions (direct):
1 Fe 0.0000 0.0000 0.0000  2.12
2 Fe 0.5000 0.5000 0.0000  1.79
3 Mo 0.5000 0.0000 0.5000  0.02
4 Si 0.0000 0.5000 0.5000  -0.01


[3]
# SiPt3

A relaxed structure of SiPt3 (PBEsol, Alexandria).

## Properties
Space group: No. 166
Formation energy from raw total energies (eV per atom): -0.15
Calculated volume (Å³ per cell): 59

Unit cell a=2.7602 b=5.0513 c=5.0513 alpha=116.76 beta=100.49 gamma=100.49
Positions (direct):
1 Pt 0.5000 0.5000 0.5000
2 Pt 0.0000 0.5000 0.0000
3 Pt 0.0000 0.0000 0.5000
4 Si 0.5000 0.0000 0.0000


[4]
# Ho2CdCu2

A relaxed structure of Ho2CdCu2 (PBEsol, Alexandria).

## Properties
Space group: No. 127
Energy relative to the elements (kcal/mol of atoms): -7.3
Calculated volume (Å³ per cell): 197

Unit cell a=3.5843 b=7.4154 c=7.4154 alpha=90.00 beta=90.00 gamma=90.00
Positions (direct):
1 Ho 0.5000 0.3263 0.8263
2 Ho 0.5000 0.1737 0.3263
3 Ho 0.5000 0.8263 0.6737
4 Ho 0.5000 0.6737 0.1737
5 Cu 0.0000 0.8796 0.3796
6 Cu 0.0000 0.6204 0.8796
7 Cu 0.0000 0.1204 0.6204
8 Cu 0.0000 0.3796 0.1204
9 Cd 0.0000 0.5000 0.5000
10 Cd 0.0000 0.0000 0.0000